Here is MgScOs2 after structural relaxation from Alexandria. Energies are from PBE-GGA. Values from VASP.

Results
Symmetry: No. 10
DOS(E_F) in states/eV/f.u.: 2.681
Volume in Å³/cell: 64.0
Energy of formation in eV/atom: 0.07

Quantum ESPRESSO input file:
```
&SYSTEM
  ibrav = 0, nat = 4, ntyp = 3
/
ATOMIC_SPECIES
Os 190.23 Os.upf
Sc 44.96 Sc.upf
Mg 24.30 Mg.upf
CELL_PARAMETERS angstrom
4.409 0.000 0.000
0.000 2.799 -0.009
0.000 0.564 5.188
ATOMIC_POSITIONS angstrom
Os 0.000 1.701 2.647
Sc 2.205 0.841 1.295
Os 0.000 3.343 5.123
Mg 2.205 2.522 3.885
```

=====

Here is Zn2SnP2 after structural relaxation from Alexandria. Energies are from PBE-GGA. Values from VASP.

Results
Symmetry: No. 139
DOS(E_F) in states/eV/f.u.: 1.493
Volume in Å³/cell: 97.0
Energy of formation in eV/atom: 0.06
Excess energy over the best structure of this formula in the dataset in meV/atom: 0

Quantum ESPRESSO input file:
```
&SYSTEM
  ibrav = 0, nat = 5, ntyp = 3
/
ATOMIC_SPECIES
P 30.97 P.upf
Zn 65.41 Zn.upf
Sn 118.71 Sn.upf
CELL_PARAMETERS angstrom
3.846 0.000 0.000
0.000 3.846 0.000
1.923 1.923 6.557
ATOMIC_POSITIONS angstrom
P 3.846 3.846 4.858
Zn 3.846 1.923 3.279
Sn 0.000 0.000 0.000
Zn 1.923 3.846 3.279
P 1.923 1.923 1.699
```

=====

Here is Zr3SbIr after structural relaxation from Alexandria. Energies are from PBE-GGA. Values from VASP.

Results
E_form (uncorrected) in eV/atom: -0.097
Symmetry: No. 221
DOS(E_F) in states/eV/f.u.: 3.025
Volume in Å³/cell: 129.8
Excess energy over the best structure of this formula in the dataset in meV/atom: 0

Quantum ESPRESSO input file:
```
&SYSTEM
  ibrav = 0, nat = 5, ntyp = 3
/
ATOMIC_SPECIES
Zr 91.22 Zr.upf
Ir 192.22 Ir.upf
Sb 121.76 Sb.upf
CELL_PARAMETERS angstrom
5.064 0.000 0.000
0.000 5.064 0.000
0.000 0.000 5.064
ATOMIC_POSITIONS angstrom
Zr 2.532 0.000 0.000
Zr 0.000 0.000 2.532
Ir 0.000 0.000 0.000
Sb 2.532 2.532 2.532
Zr 0.000 2.532 0.000
```

=====

Here is Nd3ScCd after structural relaxation from Alexandria. Energies are from PBE-GGA. Values from VASP.

Results
Symmetry: No. 59
DOS(E_F) in states/eV/f.u.: 9.321
Volume in Å³/cell: 320.2
Energy of formation in eV/atom: 0.01
Excess energy over the best structure of this formula in the dataset in meV/atom: 12

Quantum ESPRESSO input file:
```
&SYSTEM
  ibrav = 0, nat = 10, ntyp = 3
/
ATOMIC_SPECIES
Cd 112.41 Cd.upf
Nd 144.24 Nd.upf
Sc 44.96 Sc.upf
CELL_PARAMETERS angstrom
-2.348 2.849 0.718
3.818 -8.321 6.099
8.203 5.993 3.041
ATOMIC_POSITIONS angstrom
Cd 6.556 3.232 3.682
Nd 7.437 0.938 5.826
Nd -0.752 0.131 1.938
Sc 0.228 3.454 1.822
Cd 3.118 -2.711 6.176
Nd 6.399 -2.552 6.427
Nd 2.237 -0.416 4.032
Nd 10.425 0.390 7.920
Sc 9.445 -2.933 8.037
Nd 3.275 3.073 3.431
```

=====

no.,uncorrected energy (eV per atom)
1,-7.53
2,-3.41
3,-7.82
4,-4.30